# ScFeAs2Br

A relaxed structure of ScFeAs2Br (PBE-GGA, Alexandria via LeMat-Bulk).

Values from the calculation:
As for the relative energy among the computed polymorphs: 405.4 meV/atom. As for the energy relative to the elements, uncorrected: 2.219 eV/f.u. The calculation puts the total moment at 3.636 μB/cell.

Unit cell a=5.1605 b=5.1605 c=5.1202 alpha=90.00 beta=90.00 gamma=90.00
Closest atoms and distances in Å follow each position.
Space group P4/mmm (No. 123)
Unique sites:
Sc: 0.0000 0.0000 0.0000 x1  2 Br 2.56, 4 As 2.58
Fe: 0.5000 0.5000 0.5000 x1  8 As 3.63, 4 Br 3.65
As: 0.0000 0.5000 0.0000 x2  2 Sc 2.58
Br: 0.0000 0.0000 0.5000 x1  2 Sc 2.56

# ScFeAs2Br

A relaxed structure of ScFeAs2Br (PBE-GGA, Alexandria via LeMat-Bulk).

Values from the calculation:
As for the relative energy among the computed polymorphs: 0.0 meV/atom. As for the energy relative to the elements, uncorrected: 0.193 eV/f.u. The calculation puts the total moment at 2.322 μB/cell.

Unit cell a=4.5669 b=4.5669 c=5.1282 alpha=90.00 beta=90.00 gamma=90.00
Closest atoms and distances in Å follow each position.
Space group P4/mmm (No. 123)
Unique sites:
Sc: 0.0000 0.0000 0.0000 x1  4 Br 3.23, 8 As 3.43
Fe: 0.5000 0.5000 0.5000 x1  4 As 2.28
As: 0.0000 0.5000 0.5000 x2  2 Fe 2.28
Br: 0.5000 0.5000 0.0000 x1  2 Fe 2.56

- What is the formula in the first record?
  ScFeAs2Br

Repeat the second record exactly.
# ScFeAs2Br

A relaxed structure of ScFeAs2Br (PBE-GGA, Alexandria via LeMat-Bulk).

Values from the calculation:
As for the relative energy among the computed polymorphs: 0.0 meV/atom. As for the energy relative to the elements, uncorrected: 0.193 eV/f.u. The calculation puts the total moment at 2.322 μB/cell.

Unit cell a=4.5669 b=4.5669 c=5.1282 alpha=90.00 beta=90.00 gamma=90.00
Closest atoms and distances in Å follow each position.
Space group P4/mmm (No. 123)
Unique sites:
Sc: 0.0000 0.0000 0.0000 x1  4 Br 3.23, 8 As 3.43
Fe: 0.5000 0.5000 0.5000 x1  4 As 2.28
As: 0.0000 0.5000 0.5000 x2  2 Fe 2.28
Br: 0.5000 0.5000 0.0000 x1  2 Fe 2.56